Ti2Nb2Hg, relaxed, DFT PBE; space group = C2/m, No. 12; ΔE to the lowest computed polymorph = 0.00 eV/f.u.; energy of formation = 0.025 eV/atom
1.0
7.0173 -2.2253 0.0000
7.0173 2.2253 0.0000
-0.1114 0.0000 2.9335
Ti Nb Hg
2 2 1
Direct
0.1056 0.1056 0.4845
0.8944 0.8944 0.5155
0.2918 0.2918 0.1478
0.7082 0.7082 0.8522
0.5000 0.5000 0.0000